Material: CaBeH3
Method: DFT, PBE-GGA
State: relaxed

Cell lengths 4.081, 4.081, 4.081 Å; angles 90.00, 90.00, 90.00 degrees
Fractional positions:
Be 0.500 0.500 0.500
Ca 0.000 0.000 0.000
H 0.000 0.500 0.000
H 0.000 0.000 0.500
H 0.500 0.000 0.000

Calculated values
Energy   -0.093 hartree per atom
Excess energy over the best structure of this formula in the dataset   711 meV/atom

***

Material: CaBeH4
Method: DFT, PBE-GGA
State: relaxed

Cell lengths 4.357, 5.848, 6.723 Å; angles 90.00, 90.00, 132.68 degrees
Fractional positions:
Ca 0.999 0.667 0.750
Ca 0.001 0.333 0.250
Be 0.992 0.164 0.750
Be 0.008 0.836 0.250
H 0.644 0.836 0.750
H 0.356 0.164 0.250
H 0.345 0.194 0.750
H 0.655 0.806 0.250
H 0.013 0.687 0.084
H 0.987 0.313 0.584
H 0.013 0.687 0.416
H 0.987 0.313 0.916

Calculated values
Energy   -0.132 hartree per atom
Excess energy over the best structure of this formula in the dataset   7 meV/atom

***

Material: CaBe3H9
Method: DFT, PBE-GGA
State: relaxed

Cell lengths 6.219, 6.219, 6.737 Å; angles 90.00, 90.00, 104.44 degrees
Fractional positions:
Ca 0.635 0.635 0.000
Ca 0.365 0.365 0.500
Be 0.148 0.859 0.075
Be 0.852 0.141 0.575
Be 0.859 0.148 0.925
Be 0.141 0.852 0.425
Be 0.250 0.250 0.000
Be 0.750 0.750 0.500
H 0.280 0.032 0.957
H 0.720 0.968 0.457
H 0.032 0.280 0.043
H 0.968 0.720 0.543
H 0.349 0.384 0.836
H 0.651 0.616 0.336
H 0.384 0.349 0.164
H 0.616 0.651 0.664
H 0.268 0.691 0.327
H 0.732 0.309 0.827
H 0.691 0.268 0.673
H 0.309 0.732 0.173
H 0.306 0.004 0.526
H 0.694 0.996 0.026
H 0.004 0.306 0.474
H 0.996 0.694 0.974
H 0.060 0.940 0.250
H 0.940 0.060 0.750

Calculated values
Energy   -0.123 hartree per atom

***

Material: CaBeH2
Method: DFT, PBE-GGA
State: relaxed

Cell lengths 3.963, 3.963, 3.963 Å; angles 60.00, 60.00, 60.00 degrees
Fractional positions:
Be 0.000 0.000 0.000
Ca 0.500 0.500 0.500
H 0.250 0.250 0.250
H 0.750 0.750 0.750

Calculated values
Energy   -0.104 hartree per atom
Excess energy over the best structure of this formula in the dataset   150 meV/atom